DFT (PBE) results for an optimized crystal structure of SiIr4Se.

Lattice parameters (Å, degrees): 5.2407 5.2407 5.2407 60.00 60.00 60.00
Closest atoms and distances in Å follow each position.
Fractional positions:
1 Si 0.0000 0.0000 0.0000  12 Ir 3.07, 4 Se 3.21
2 Ir 0.6251 0.6251 0.1247  6 Ir 2.62
3 Ir 0.6251 0.1247 0.6251  6 Ir 2.62
4 Ir 0.6251 0.6251 0.6251  6 Ir 2.62
5 Ir 0.1247 0.6251 0.6251  6 Ir 2.62
6 Se 0.2500 0.2500 0.2500  12 Ir 3.07, 4 Si 3.21

## Properties
M_tot in μB/cell: 0.00
ΔE_f (raw) in eV per atom: 0.856
Space-group type: F-43m (216)